1.
UZnRe after structural relaxation, computed with PBE-GGA.

Results
calculated density: 13.4 g cm⁻³
total energy: -7.92 eV/atom
DFT formation energy: 0.412 eV/atom
excess energy over the best structure of this formula in the dataset: 0.1676 eV/atom

POSCAR file:
```
UZnRe
1.0
3.1095 0.0000 0.0000
0.0000 5.1029 0.0000
0.0000 0.0000 7.6381
Re U Zn
2 2 2
direct
0.0000 0.5000 0.3220
0.5000 0.0000 0.6780
0.0000 0.0000 0.3703
0.5000 0.5000 0.6297
0.0000 0.0000 0.9608
0.5000 0.5000 0.0392
```



2.
UZnRe after structural relaxation, computed with PBE-GGA.

Results
calculated density: 15.8 g cm⁻³
total energy: -8.06 eV/atom
DFT formation energy: 0.275 eV/atom
excess energy over the best structure of this formula in the dataset: 0.0298 eV/atom

POSCAR file:
```
UZnRe
1.0
2.7797 0.0000 0.0000
-1.3898 2.4073 0.0000
0.0000 0.0000 7.6857
Zn Re U
1 1 1
direct
0.0000 0.0000 0.9806
0.3333 0.6667 0.6871
0.6667 0.3333 0.3323
```



3.
ZrURe after structural relaxation, computed with PBE-GGA.

Results
calculated density: 13.9 g cm⁻³
total energy: -10.36 eV/atom
DFT formation energy: 0.400 eV/atom

POSCAR file:
```
ZrURe
1.0
-4.5435 0.1273 -1.7926
-1.2246 -2.8715 -3.7588
-3.5445 -5.2048 1.9553
U Zr Re
2 2 2
direct
0.0713 0.0713 0.7862
0.9287 0.9287 0.2138
0.6169 0.6169 0.1493
0.3831 0.3831 0.8507
0.7742 0.7742 0.6773
0.2258 0.2258 0.3227
```



4.
ZrURe2 after structural relaxation, computed with PBE-GGA.

Results
calculated density: 15.6 g cm⁻³
total energy: -11.23 eV/atom
DFT formation energy: -0.047 eV/atom
excess energy over the best structure of this formula in the dataset: 0.0000 eV/atom

POSCAR file:
```
ZrURe2
1.0
-0.2932 0.3917 -3.2508
-3.7704 -2.9106 -0.0106
-2.8794 3.7275 0.7088
Zr U Re
1 1 2
direct
0.5000 0.5000 0.5000
0.5000 0.0000 0.0000
0.0000 0.5000 0.0000
0.0000 0.0000 0.5000
```



5.
ZrURe4 after structural relaxation, computed with PBE-GGA.

Results
calculated density: 16.4 g cm⁻³
total energy: -11.66 eV/atom
DFT formation energy: -0.059 eV/atom

POSCAR file:
```
ZrURe4
1.0
5.3590 0.0000 0.0000
2.6795 4.6410 0.0000
2.6795 1.5470 4.3756
Re U Zr
4 1 1
direct
0.6255 0.1234 0.6255
0.6255 0.6255 0.1234
0.6255 0.6255 0.6255
0.1234 0.6255 0.6255
0.2500 0.2500 0.2500
0.0000 0.0000 0.0000
```



6.
V3Re after structural relaxation, computed with PBE-GGA.

Results
calculated density: 10.3 g cm⁻³
total energy: -10.20 eV/atom
DFT formation energy: -0.249 eV/atom

POSCAR file:
```
V3Re
1.0
4.2596 0.0000 0.0000
0.0000 3.0214 0.0000
0.0000 0.0000 4.2614
V Re
3 1
direct
0.0000 0.0000 0.0833
0.5000 0.5000 0.0833
0.0000 0.5000 0.5833
0.5000 0.0000 0.5833
```



7.
V5Re after structural relaxation, computed with PBE-GGA.

Results
calculated density: 9.0 g cm⁻³
total energy: -9.85 eV/atom
DFT formation energy: -0.172 eV/atom

POSCAR file:
```
V5Re
1.0
3.0127 0.0000 0.0000
0.0000 4.2590 0.0000
0.0000 -2.1295 6.3751
V Re
5 1
direct
0.5000 0.5000 0.0000
0.0000 0.3312 0.6625
0.5000 0.8327 0.6653
0.0000 0.6688 0.3375
0.5000 0.1673 0.3347
0.0000 0.0000 0.0000
```



8.
V4Re after structural relaxation, computed with PBE-GGA.

Results
calculated density: 9.3 g cm⁻³
total energy: -9.80 eV/atom
DFT formation energy: -0.014 eV/atom
excess energy over the best structure of this formula in the dataset: 0.2146 eV/atom

POSCAR file:
```
V4Re
1.0
-2.6540 -1.1743 4.1935
3.8507 -2.8993 -1.6655
3.4500 5.4007 2.2401
V Re
8 2
direct
0.2794 0.7795 0.0982
0.6813 0.1812 0.9018
0.4312 0.4313 0.4018
0.0295 0.0294 0.5982
0.8813 0.3814 0.3018
0.0796 0.5795 0.6982
0.6314 0.6313 0.8018
0.8295 0.8296 0.1982
0.2304 0.2304 0.0000
0.4804 0.9804 0.5000
```



9.
V2Re after structural relaxation, computed with PBE-GGA.

Results
calculated density: 11.3 g cm⁻³
total energy: -10.25 eV/atom
DFT formation energy: -0.025 eV/atom

POSCAR file:
```
V2Re
1.0
-2.7996 -2.1538 -0.4932
0.4060 -1.2840 3.3024
-6.9301 11.2089 3.2844
Re V
4 8
direct
0.6676 0.1676 0.3352
0.0824 0.0824 0.1648
0.8324 0.3324 0.6648
0.9176 0.9176 0.8352
0.2503 0.2503 0.5007
0.4997 0.9997 0.9993
0.0003 0.5003 0.0007
0.5828 0.5828 0.1656
0.3328 0.8328 0.6656
0.1672 0.6672 0.3344
0.7497 0.7497 0.4993
0.4172 0.4172 0.8344
```



10.
VRe2 after structural relaxation, computed with PBE-GGA.

Results
calculated density: 14.7 g cm⁻³
total energy: -11.14 eV/atom
DFT formation energy: 0.203 eV/atom

POSCAR file:
```
VRe2
1.0
-2.0867 -3.8494 2.6716
1.8010 -1.1590 4.6608
-2.8238 1.0026 4.1630
Re V
4 2
direct
0.6250 0.6250 0.6250
0.1250 0.6250 0.6250
0.6250 0.1250 0.6250
0.6250 0.6250 0.1250
0.2500 0.2500 0.2500
0.0000 0.0000 0.0000
```



11.
V3Re after structural relaxation, computed with PBE-GGA.

Results
calculated density: 10.0 g cm⁻³
total energy: -9.99 eV/atom
DFT formation energy: -0.036 eV/atom

POSCAR file:
```
V3Re
1.0
3.5449 0.0000 0.0000
0.0000 3.5449 0.0000
-1.7725 -1.7725 4.4581
V Re
3 1
direct
0.2500 0.7500 0.5000
0.5000 0.5000 0.0000
0.7500 0.2500 0.5000
0.0000 0.0000 0.0000
```



12.
V5Re after structural relaxation, computed with PBE-GGA.

Results
calculated density: 8.9 g cm⁻³
total energy: -9.85 eV/atom
DFT formation energy: -0.173 eV/atom

POSCAR file:
```
V5Re
1.0
-1.0238 0.0359 2.8318
-2.3228 -3.5091 -0.7953
5.3869 -3.6547 0.3927
V Re
5 1
direct
0.1418 0.5000 0.2835
0.4722 0.5000 0.9445
0.3051 0.0000 0.6103
0.6393 0.0000 0.2786
0.8027 0.5000 0.6054
0.9722 0.0000 0.9444
```



13.
VRe2 after structural relaxation, computed with PBE-GGA.

Results
calculated density: 16.3 g cm⁻³
total energy: -11.52 eV/atom
DFT formation energy: -0.177 eV/atom

POSCAR file:
```
VRe2
1.0
-1.4235 2.6876 0.2971
-2.7012 -1.3981 -0.2946
1.8760 -1.2494 4.5765
Re V
2 1
direct
0.6611 0.6611 0.3222
0.3389 0.3389 0.6778
0.0000 0.0000 0.0000
```



14.
V5Re4 after structural relaxation, computed with PBE-GGA.

Results
calculated density: 13.1 g cm⁻³
total energy: -10.91 eV/atom
DFT formation energy: -0.307 eV/atom

POSCAR file:
```
V5Re4
1.0
-0.7287 2.4012 1.7082
-5.0340 2.7497 -3.3155
-4.5343 -2.4280 4.1761
V Re
5 4
direct
0.0000 0.6659 0.3341
0.6659 0.3341 0.3341
0.0000 0.3341 0.6659
0.0000 0.0000 0.0000
0.3341 0.6659 0.6659
0.6657 0.0000 0.6686
0.3343 0.0000 0.3314
0.3343 0.3314 0.0000
0.6657 0.6686 0.0000
```



15.
V2Re3 after structural relaxation, computed with PBE-GGA.

Results
calculated density: 15.4 g cm⁻³
total energy: -11.36 eV/atom
DFT formation energy: -0.241 eV/atom

POSCAR file:
```
V2Re3
1.0
2.9751 0.0000 -0.6627
-0.1476 2.9714 -0.6627
0.2119 0.2227 7.9603
V Re
2 3
direct
0.5975 0.5975 0.1950
0.4025 0.4025 0.8050
0.8034 0.8034 0.6069
0.1966 0.1966 0.3931
0.0000 0.0000 0.0000
```



16.
V4Re after structural relaxation, computed with PBE-GGA.

Results
calculated density: 6.8 g cm⁻³
total energy: -8.47 eV/atom
DFT formation energy: 1.319 eV/atom
excess energy over the best structure of this formula in the dataset: 1.5483 eV/atom

POSCAR file:
```
V4Re
1.0
4.5668 0.0000 0.0000
0.0000 4.5668 0.0000
0.0000 0.0000 4.5668
V Re
4 1
direct
0.0000 0.5000 0.5000
0.0000 0.0000 0.0000
0.5000 0.5000 0.0000
0.5000 0.0000 0.5000
0.5000 0.5000 0.5000
```



17.
V4Re after structural relaxation, computed with PBE-GGA.

Results
calculated density: 9.5 g cm⁻³
total energy: -10.01 eV/atom
DFT formation energy: -0.229 eV/atom
excess energy over the best structure of this formula in the dataset: 0.0000 eV/atom

POSCAR file:
```
V4Re
1.0
4.0211 1.0114 -0.9698
0.8145 4.8561 -0.9023
-1.0684 -0.9413 4.0135
Re V
1 4
direct
0.0000 0.0000 0.0000
0.1971 0.4086 0.8029
0.8029 0.5914 0.1971
0.3998 0.8003 0.6002
0.6002 0.1997 0.3998
```



18.
VRe2 after structural relaxation, computed with PBE-GGA.

Results
calculated density: 14.1 g cm⁻³
total energy: -10.66 eV/atom
DFT formation energy: 0.674 eV/atom

POSCAR file:
```
VRe2
1.0
-3.4783 1.2413 -1.8243
1.5319 -1.0927 -3.6642
-0.1570 -2.7590 3.0723
Re V
2 1
direct
0.7500 0.2500 0.5000
0.2500 0.7500 0.5000
0.0000 0.0000 0.0000
```



19.
V3Re after structural relaxation, computed with PBE-GGA.

Results
calculated density: 10.3 g cm⁻³
total energy: -10.22 eV/atom
DFT formation energy: -0.273 eV/atom

POSCAR file:
```
V3Re
1.0
-2.2954 1.6642 3.1811
-1.0136 -2.3950 3.3755
1.8255 0.7573 3.7751
V Re
3 1
direct
0.7500 0.7500 0.7500
0.5000 0.5000 0.5000
0.2500 0.2500 0.2500
0.0000 0.0000 0.0000
```



20.
V3Re after structural relaxation, computed with PBE-GGA.

Results
calculated density: 9.9 g cm⁻³
total energy: -9.80 eV/atom
DFT formation energy: 0.154 eV/atom

POSCAR file:
```
V3Re
1.0
3.8443 0.0000 0.0000
0.0000 3.8443 0.0000
0.0000 0.0000 3.8443
V Re
3 1
direct
0.0000 0.5000 0.5000
0.5000 0.5000 0.0000
0.5000 0.0000 0.5000
0.0000 0.0000 0.0000
```



21.
V8Re after structural relaxation, computed with PBE-GGA.

Results
calculated density: 8.1 g cm⁻³
total energy: -9.61 eV/atom
DFT formation energy: -0.118 eV/atom

POSCAR file:
```
V8Re
1.0
-1.3469 -2.5903 -0.6768
4.6079 -4.4785 1.3348
-2.8385 -1.7358 5.6570
V Re
8 1
direct
0.0000 0.6638 0.3362
0.3327 0.3346 0.0000
0.6673 0.6654 0.0000
0.6673 0.0000 0.6654
0.3327 0.0000 0.3346
0.6638 0.3362 0.3362
0.3362 0.6638 0.6638
0.0000 0.3362 0.6638
0.0000 0.0000 0.0000
```



22.
V2Re after structural relaxation, computed with PBE-GGA.

Results
calculated density: 9.5 g cm⁻³
total energy: -9.74 eV/atom
DFT formation energy: 0.492 eV/atom

POSCAR file:
```
V2Re
1.0
5.8742 0.0000 0.0000
0.0000 4.1393 0.0000
0.0000 0.0000 4.1406
Re V
2 4
direct
0.5000 0.5000 0.5000
0.0000 0.0000 0.0000
0.2500 0.5000 0.9999
0.2500 0.0000 0.4999
0.7500 0.5000 0.0001
0.7500 0.0000 0.5001
```



23.
V4Re3 after structural relaxation, computed with PBE-GGA.

Results
calculated density: 12.9 g cm⁻³
total energy: -10.85 eV/atom
DFT formation energy: -0.300 eV/atom

POSCAR file:
```
V4Re3
1.0
0.0170 -4.2974 0.1748
3.6888 -2.1108 0.6605
0.2908 -1.8939 6.3274
Re V
3 4
direct
0.2862 0.2862 0.1413
0.0019 0.0019 0.9944
0.8556 0.8556 0.4332
0.4284 0.4284 0.7148
0.1422 0.1422 0.5733
0.5701 0.5701 0.2897
0.7156 0.7156 0.8532
```



24.
V13Re3 after structural relaxation, computed with PBE-GGA.

Results
calculated density: 9.3 g cm⁻³
total energy: -9.93 eV/atom
DFT formation energy: -0.184 eV/atom

POSCAR file:
```
V13Re3
1.0
6.0270 -0.0289 0.0000
-0.0504 6.0268 0.0000
0.0000 0.0000 6.0134
V Re
13 3
direct
0.7510 0.7494 0.5000
0.4982 0.5018 0.2507
0.2506 0.2490 0.5000
0.7497 0.2503 0.5000
0.9990 0.4998 0.2503
0.5002 0.0010 0.7497
0.9990 0.4998 0.7497
0.2513 0.7487 0.0000
0.5002 0.0010 0.2503
0.4982 0.5018 0.7493
0.2497 0.2502 0.0000
0.2533 0.7467 0.5000
0.7498 0.7503 0.0000
0.0021 0.9979 0.2516
0.0021 0.9979 0.7484
0.7454 0.2546 0.0000
```



25.
V7Re3 after structural relaxation, computed with PBE-GGA.

Results
calculated density: 10.2 g cm⁻³
total energy: -10.00 eV/atom
DFT formation energy: 0.114 eV/atom

POSCAR file:
```
V7Re3
1.0
5.0597 0.0000 0.0000
0.0000 8.2426 0.0000
0.0000 -4.1213 7.1382
Re V
6 14
direct
0.9158 0.5644 0.7822
0.4158 0.7822 0.5644
0.9158 0.2178 0.4356
0.4158 0.7822 0.2178
0.9158 0.2178 0.7822
0.4158 0.4356 0.2178
0.1659 0.5000 0.0000
0.1659 0.0000 0.5000
0.4159 0.3333 0.6667
0.1659 0.5000 0.5000
0.6659 0.5000 0.5000
0.4157 0.7489 0.8744
0.6659 0.0000 0.5000
0.9159 0.6667 0.3333
0.4157 0.1256 0.8744
0.9157 0.2511 0.1256
0.9157 0.8744 0.1256
0.6659 0.5000 0.0000
0.9157 0.8744 0.7489
0.4157 0.1256 0.2511
```



26.
V5Re3 after structural relaxation, computed with PBE-GGA.

Results
calculated density: 12.2 g cm⁻³
total energy: -10.71 eV/atom
DFT formation energy: -0.342 eV/atom

POSCAR file:
```
V5Re3
1.0
3.0277 0.0000 0.0000
0.0000 3.0277 0.0000
0.0000 0.0000 12.1169
V Re
5 3
direct
0.0000 0.0000 0.7501
0.0000 0.0000 0.2499
0.0000 0.0000 0.0000
0.5000 0.5000 0.3756
0.5000 0.5000 0.6244
0.5000 0.5000 0.8732
0.0000 0.0000 0.5000
0.5000 0.5000 0.1268
```